1.
Material: La2Pm3In2
Method: DFT, PBE
State: optimized geometry

Calculated values
energy above the most stable polymorph in this dataset: 3 kJ/mol of formula units
N(E_F): 8.176 states/eV/cell
total magnetic moment: 0.00 Bohr magnetons per cell

a b c (Å): 5.440 6.529 7.045
angles (deg): 87.91 90.00 114.62
Positions (direct):
La1 0.601 0.203 0.676
La2 0.399 0.797 0.324
Pm1 0.293 0.587 0.836
Pm2 0.000 0.000 0.000
Pm3 0.707 0.413 0.164
In1 0.118 0.237 0.411
In2 0.882 0.763 0.589

---

2.
Material: LaPmIn
Method: DFT, PBE
State: optimized geometry

Calculated values
energy above the most stable polymorph in this dataset: 3 kJ/mol of formula units
N(E_F): 15.361 states/eV/cell
total magnetic moment: 0.00 Bohr magnetons per cell

a b c (Å): 5.925 5.912 10.401
angles (deg): 90.00 90.00 90.00
Positions (direct):
La1 0.750 0.249 0.172
La2 0.250 0.251 0.672
La3 0.250 0.751 0.828
La4 0.750 0.749 0.328
Pm1 0.750 0.749 0.648
Pm2 0.250 0.751 0.148
Pm3 0.250 0.251 0.352
Pm4 0.750 0.249 0.852
In1 0.750 0.249 0.507
In2 0.250 0.251 0.007
In3 0.250 0.751 0.493
In4 0.750 0.749 0.993

---

3.
Material: La3Pm4In4
Method: DFT, PBE
State: optimized geometry

Calculated values
N(E_F): 11.283 states/eV/cell
total magnetic moment: 0.00 Bohr magnetons per cell

a b c (Å): 4.771 8.487 10.249
angles (deg): 114.46 103.46 90.00
Positions (direct):
La1 0.112 0.112 0.224
La2 0.888 0.888 0.776
La3 0.000 0.500 0.000
Pm1 0.334 0.132 0.667
Pm2 0.666 0.465 0.333
Pm3 0.666 0.868 0.333
Pm4 0.334 0.535 0.667
In1 0.231 0.731 0.462
In2 0.769 0.269 0.538
In3 0.500 0.814 0.000
In4 0.500 0.186 0.000

---

4.
Material: La12Pm3In
Method: DFT, PBE
State: optimized geometry

Calculated values
N(E_F): 23.580 states/eV/cell
total magnetic moment: 0.00 Bohr magnetons per cell

a b c (Å): 5.176 5.176 20.993
angles (deg): 90.00 90.00 90.00
Positions (direct):
La1 0.500 0.500 0.000
La2 0.500 0.500 0.249
La3 0.500 0.500 0.500
La4 0.500 0.500 0.751
La5 0.500 0.000 0.120
La6 0.500 0.000 0.373
La7 0.500 0.000 0.627
La8 0.500 0.000 0.880
La9 0.000 0.500 0.120
La10 0.000 0.500 0.373
La11 0.000 0.500 0.627
La12 0.000 0.500 0.880
Pm1 0.000 0.000 0.247
Pm2 0.000 0.000 0.500
Pm3 0.000 0.000 0.753
In1 0.000 0.000 0.000

---

5.
Material: La3Pm6In
Method: DFT, PBE
State: optimized geometry

Calculated values
N(E_F): 26.194 states/eV/cell
total magnetic moment: 0.00 Bohr magnetons per cell

a b c (Å): 6.481 10.438 10.438
angles (deg): 99.84 90.00 90.00
Positions (direct):
La1 0.431 0.890 0.715
La2 0.931 0.715 0.890
La3 0.101 0.356 0.644
La4 0.601 0.644 0.356
La5 0.931 0.110 0.285
La6 0.431 0.285 0.110
Pm1 0.107 0.673 0.566
Pm2 0.607 0.566 0.673
Pm3 0.399 0.590 0.976
Pm4 0.899 0.976 0.590
Pm5 0.256 0.953 0.047
Pm6 0.596 0.251 0.749
Pm7 0.096 0.749 0.251
Pm8 0.756 0.047 0.953
Pm9 0.399 0.024 0.410
Pm10 0.899 0.410 0.024
Pm11 0.107 0.434 0.327
Pm12 0.607 0.327 0.434
In1 0.157 0.157 0.843
In2 0.657 0.843 0.157

---

6.
Material: LaPm2In
Method: DFT, PBE
State: optimized geometry

Calculated values
energy above the most stable polymorph in this dataset: 60 kJ/mol of formula units
N(E_F): 7.882 states/eV/cell
total magnetic moment: 0.35 Bohr magnetons per cell

a b c (Å): 5.594 5.594 5.594
angles (deg): 60.00 60.00 60.00
Positions (direct):
La1 0.000 0.000 0.000
In1 0.500 0.500 0.500
Pm1 0.250 0.250 0.250
Pm2 0.750 0.750 0.750

---

Number 1: energy of formation -1.8 eV/f.u.. Number 2: energy of formation -0.9 eV/f.u.. Number 3: energy of formation -3.0 eV/f.u.. Number 4: energy of formation -1.0 eV/f.u.. Number 5: energy of formation 0.3 eV/f.u.. Number 6: energy of formation -0.5 eV/f.u..